Record 1
DFT (PBE) results for crystalline LiPrCdRh at its relaxed geometry.

space-group type: F-43m (216)
energy relative to the elements: -8.1 kcal/mol of atoms
calculated volume: 82.20 Å³ per cell
DFT total energy: -4.090 eV/atom

Lattice parameters (Å, degrees): 4.880 4.880 4.880 60.00 60.00 60.00
Fractional positions:
Li (0.500, 0.500, 0.500)
Cd (0.750, 0.750, 0.750)
Rh (0.000, 0.000, 0.000)
Pr (0.250, 0.250, 0.250)

---

Record 2
DFT (PBE) results for crystalline LiPrScCd at its relaxed geometry.

space-group type: F-43m (216)
energy relative to the elements: -1.9 kcal/mol of atoms
calculated volume: 101.12 Å³ per cell
DFT total energy: -3.568 eV/atom

Lattice parameters (Å, degrees): 5.229 5.229 5.229 60.00 60.00 60.00
Site moments in Bohr magnetons follow the coordinates.
Fractional positions:
Cd (0.250, 0.250, 0.250)  0.01
Li (0.750, 0.750, 0.750)  0.01
Pr (0.500, 0.500, 0.500)  0.09
Sc (0.000, 0.000, 0.000)  0.19

---

Record 3
DFT (PBE) results for crystalline LiPrSmCd at its relaxed geometry.

space-group type: F-43m (216)
energy relative to the elements: -2.7 kcal/mol of atoms
calculated volume: 112.33 Å³ per cell
DFT total energy: -3.201 eV/atom

Lattice parameters (Å, degrees): 5.416 5.416 5.416 60.00 60.00 60.00
Site moments in Bohr magnetons follow the coordinates.
Fractional positions:
Pr (0.500, 0.500, 0.500)  0.09
Li (0.250, 0.250, 0.250)  0.01
Sm (0.000, 0.000, 0.000)  0.09
Cd (0.750, 0.750, 0.750)  0.01

---

Record 4
DFT (PBE) results for crystalline SrLiPrCd at its relaxed geometry.

space-group type: F-43m (216)
energy relative to the elements: -2.6 kcal/mol of atoms
calculated volume: 124.78 Å³ per cell
DFT total energy: -2.435 eV/atom

Lattice parameters (Å, degrees): 5.609 5.609 5.609 60.00 60.00 60.00
Fractional positions:
Pr (0.000, 0.000, 0.000)
Li (0.750, 0.750, 0.750)
Cd (0.250, 0.250, 0.250)
Sr (0.500, 0.500, 0.500)

---

Record 5
DFT (PBE) results for crystalline LiTb2PrCd4 at its relaxed geometry.

space-group type: R-3m (166)
energy relative to the elements: -6.1 kcal/mol of atoms
calculated volume: 206.89 Å³ per cell
DFT total energy: -2.717 eV/atom

Lattice parameters (Å, degrees): 5.234 5.234 9.231 73.53 73.53 60.00
Fractional positions:
Cd (0.127, 0.127, 0.618)
Cd (0.384, 0.384, 0.849)
Cd (0.616, 0.616, 0.151)
Cd (0.873, 0.873, 0.382)
Pr (0.000, 0.000, 0.000)
Li (0.500, 0.500, 0.500)
Tb (0.247, 0.247, 0.260)
Tb (0.753, 0.753, 0.740)

---

Record 6
DFT (PBE) results for crystalline Li2PrTl2Cd2 at its relaxed geometry.

space-group type: C2/m (12)
energy relative to the elements: -6.0 kcal/mol of atoms
calculated volume: 165.83 Å³ per cell
DFT total energy: -2.426 eV/atom

Lattice parameters (Å, degrees): 4.819 5.034 8.047 102.82 90.00 118.60
Fractional positions:
Li (0.132, 0.264, 0.433)
Li (0.868, 0.736, 0.567)
Cd (0.418, 0.837, 0.310)
Cd (0.582, 0.163, 0.690)
Tl (0.718, 0.435, 0.198)
Tl (0.282, 0.565, 0.802)
Pr (0.000, 0.000, 0.000)

---

Record 7
DFT (PBE) results for crystalline LiPrTl2Cd at its relaxed geometry.

space-group type: Pmma (51)
energy relative to the elements: -4.6 kcal/mol of atoms
calculated volume: 257.85 Å³ per cell
DFT total energy: -2.667 eV/atom

Lattice parameters (Å, degrees): 6.432 5.950 6.737 90.00 90.00 90.00
Fractional positions:
Cd (0.354, 0.250, 0.000)
Cd (0.646, 0.750, 0.000)
Pr (0.218, 0.250, 0.500)
Pr (0.782, 0.750, 0.500)
Li (0.000, 0.000, 0.000)
Li (0.000, 0.500, 0.000)
Tl (0.273, 0.750, 0.736)
Tl (0.727, 0.250, 0.736)
Tl (0.273, 0.750, 0.264)
Tl (0.727, 0.250, 0.264)

---

Record 8
DFT (PBE) results for crystalline Li2Pr2TmCd5 at its relaxed geometry.

space-group type: P4/mbm (127)
energy relative to the elements: -6.7 kcal/mol of atoms
calculated volume: 477.37 Å³ per cell
DFT total energy: -2.533 eV/atom

Lattice parameters (Å, degrees): 4.118 10.766 10.766 90.00 90.00 90.00
Fractional positions:
Cd (0.500, 0.059, 0.787)
Cd (0.500, 0.287, 0.559)
Cd (0.500, 0.559, 0.713)
Cd (0.500, 0.787, 0.941)
Cd (0.500, 0.213, 0.059)
Cd (0.500, 0.500, 0.000)
Cd (0.500, 0.441, 0.287)
Cd (0.500, 0.941, 0.213)
Cd (0.500, 0.713, 0.441)
Cd (0.500, 0.000, 0.500)
Tm (0.000, 0.500, 0.500)
Tm (0.000, 0.000, 0.000)
Li (0.000, 0.385, 0.115)
Li (0.000, 0.115, 0.615)
Li (0.000, 0.885, 0.385)
Li (0.000, 0.615, 0.885)
Pr (0.000, 0.319, 0.819)
Pr (0.000, 0.181, 0.319)
Pr (0.000, 0.819, 0.681)
Pr (0.000, 0.681, 0.181)

---

Record 9
DFT (PBE) results for crystalline LiPrTmCd at its relaxed geometry.

space-group type: F-43m (216)
energy relative to the elements: -2.5 kcal/mol of atoms
calculated volume: 107.27 Å³ per cell
DFT total energy: -3.129 eV/atom

Lattice parameters (Å, degrees): 5.333 5.333 5.333 60.00 60.00 60.00
Fractional positions:
Pr (0.000, 0.000, 0.000)
Tm (0.500, 0.500, 0.500)
Cd (0.750, 0.750, 0.750)
Li (0.250, 0.250, 0.250)

---

Record 10
DFT (PBE) results for crystalline Li2PrTmCd4 at its relaxed geometry.

space-group type: R-3m (166)
energy relative to the elements: -5.9 kcal/mol of atoms
calculated volume: 188.23 Å³ per cell
DFT total energy: -2.347 eV/atom

Lattice parameters (Å, degrees): 5.092 5.092 8.883 73.35 73.35 60.00
Fractional positions:
Pr (0.000, 0.000, 0.000)
Li (0.248, 0.248, 0.256)
Li (0.752, 0.752, 0.744)
Cd (0.872, 0.872, 0.385)
Cd (0.128, 0.128, 0.615)
Cd (0.379, 0.379, 0.863)
Cd (0.621, 0.621, 0.137)
Tm (0.500, 0.500, 0.500)

---

Record 11
DFT (PBE) results for crystalline LiPrYCd at its relaxed geometry.

space-group type: F-43m (216)
energy relative to the elements: -3.0 kcal/mol of atoms
calculated volume: 109.63 Å³ per cell
DFT total energy: -3.648 eV/atom

Lattice parameters (Å, degrees): 5.372 5.372 5.372 60.00 60.00 60.00
Fractional positions:
Y (0.500, 0.500, 0.500)
Cd (0.250, 0.250, 0.250)
Pr (0.000, 0.000, 0.000)
Li (0.750, 0.750, 0.750)

---

Record 12
DFT (PBE) results for crystalline Li6CdPt3 at its relaxed geometry.

space-group type: R3 (146)
energy relative to the elements: -9.2 kcal/mol of atoms
calculated volume: 171.84 Å³ per cell
DFT total energy: -3.450 eV/atom

Lattice parameters (Å, degrees): 7.539 7.539 5.580 47.50 47.50 60.00
Fractional positions:
Li (0.741, 0.057, 0.803)
Li (0.266, 0.880, 0.332)
Li (0.522, 0.266, 0.332)
Li (0.880, 0.522, 0.332)
Li (0.057, 0.399, 0.803)
Li (0.399, 0.741, 0.803)
Cd (0.909, 0.909, 0.274)
Pt (0.657, 0.657, 0.029)
Pt (0.160, 0.160, 0.519)
Pt (0.408, 0.408, 0.776)